Arrangement A

DFT (PBE) results for Dy2PaAu after structural relaxation.

abc: 3.2765 3.2765 11.4123
angles: 81.75 81.75 60.00
Sites, in units of the cell vectors:
1 Dy 0.9042 0.9042 0.2873
2 Pa 0.0000 0.0000 0.0000
3 Au 0.5000 0.5000 0.5000
4 Dy 0.0958 0.0958 0.7127

Output
D(E_F), states/eV/cell: 4.70
Symmetry: R-3m (166)
Calculated volume, Å³ per atom: 26.2
Crystal system: trigonal

***

Arrangement B

DFT (PBE) results for Dy2PaAu after structural relaxation.

abc: 3.5222 3.5222 8.1990
angles: 90.00 90.00 90.00
Sites, in units of the cell vectors:
1 Au 0.5000 0.5000 0.0000
2 Pa 0.5000 0.5000 0.5000
3 Dy 0.0000 0.0000 0.7775
4 Dy 0.0000 0.0000 0.2225

Output
D(E_F), states/eV/cell: 5.58
Symmetry: P4/mmm (123)
Calculated volume, Å³ per atom: 25.4
Crystal system: tetragonal

***

Of all the structures shown, which is most stable? arrangement B, and arrangement A is the least stable.